[1]
## FeSiIrOs (PBE)

Data for a geometry-optimized FeSiIrOs structure.

Geometry as extended XYZ:
```
16
Lattice="5.9818 0.0000 0.0000 0.0000 5.9818 0.0000 0.0000 0.0000 5.9818" Properties=species:S:1:pos:R:3 pbc="T T T"
Fe 0.0000 0.0000 0.0000
Fe 0.0000 2.9909 2.9909
Fe 2.9909 0.0000 2.9909
Fe 2.9909 2.9909 0.0000
Si 1.4955 1.4955 4.4864
Si 1.4955 4.4864 1.4955
Si 4.4864 1.4955 1.4955
Si 4.4864 4.4864 4.4864
Ir 1.4955 1.4955 1.4955
Ir 1.4955 4.4864 4.4864
Ir 4.4864 1.4955 4.4864
Ir 4.4864 4.4864 1.4955
Os 0.0000 0.0000 2.9909
Os 0.0000 2.9909 0.0000
Os 2.9909 0.0000 0.0000
Os 2.9909 2.9909 2.9909
```

Calculated values
Crystal system: cubic
Energy (eV/atom): -8.3376
Energy relative to the lowest polymorph listed for this composition (meV per atom): 0

[2]
## FeSnIrOs (PBE)

Data for a geometry-optimized FeSnIrOs structure.

Geometry as extended XYZ:
```
16
Lattice="6.2596 0.0000 0.0000 0.0000 6.2596 0.0000 0.0000 0.0000 6.2596" Properties=species:S:1:pos:R:3 pbc="T T T"
Fe 0.0000 0.0000 0.0000
Fe 0.0000 3.1298 3.1298
Fe 3.1298 0.0000 3.1298
Fe 3.1298 3.1298 0.0000
Sn 1.5649 1.5649 4.6947
Sn 1.5649 4.6947 1.5649
Sn 4.6947 1.5649 1.5649
Sn 4.6947 4.6947 4.6947
Ir 1.5649 1.5649 1.5649
Ir 1.5649 4.6947 4.6947
Ir 4.6947 1.5649 4.6947
Ir 4.6947 4.6947 1.5649
Os 0.0000 0.0000 3.1298
Os 0.0000 3.1298 0.0000
Os 3.1298 0.0000 0.0000
Os 3.1298 3.1298 3.1298
```

Calculated values
Crystal system: cubic
Energy (eV/atom): -7.7111
Energy relative to the lowest polymorph listed for this composition (meV per atom): 0